No. 1
Computed, not measured: Y2Ag2Te at its PBEsol-relaxed geometry at the meta-GGA SCAN level of DFT.

Cell and atoms, written as POSCAR:
```
Y2Ag2Te
1.0
3.773 0.000 0.000
0.000 3.773 0.000
-1.887 -1.887 8.453
Ag Te Y
2 1 2
Direct
0.250 0.750 0.500
0.750 0.250 0.500
0.000 0.000 0.000
0.608 0.608 0.216
0.392 0.392 0.784
```

Output
The value obtained for the formation energy from raw total energies is -52.50 kJ/mol of atoms. Its symmetry is I4/mmm.

---

No. 2
Computed, not measured: Y2AgTe at its PBEsol-relaxed geometry at the meta-GGA SCAN level of DFT.

Cell and atoms, written as POSCAR:
```
Y2AgTe
1.0
5.180 0.000 0.000
2.590 4.486 0.000
2.590 1.495 4.229
Ag Te Y
1 1 2
Direct
0.500 0.500 0.500
0.250 0.250 0.250
0.000 0.000 0.000
0.750 0.750 0.750
```

Output
The value obtained for the formation energy from raw total energies is -2.05 kJ/mol of atoms. Its symmetry is F-43m.